# SrCuRh SCAN single point on PBEsol structure
# E_form (eV per atom): 0.905
data_SrCuRh
_cell_length_a 6.434
_cell_length_b 6.434
_cell_length_c 6.434
_cell_angle_alpha 90.00
_cell_angle_beta 90.00
_cell_angle_gamma 90.00
_symmetry_space_group_name_H-M 'F -4 3 m'
_symmetry_Int_Tables_number 216
_symmetry_space_group_name_Hall 'F -4 2 3'
loop_
_atom_site_label
_atom_site_fract_x
_atom_site_fract_y
_atom_site_fract_z
Sr1 0.000 0.000 0.000
Cu1 0.250 0.250 0.250
Rh1 0.250 0.250 0.750

***

# GaRu2Cl SCAN single point on PBEsol structure
# Raw total energy (eV per atom): -22.866
data_GaRu2Cl
_cell_length_a 6.031
_cell_length_b 6.031
_cell_length_c 6.031
_cell_angle_alpha 90.00
_cell_angle_beta 90.00
_cell_angle_gamma 90.00
_symmetry_space_group_name_H-M 'F m -3 m'
_symmetry_Int_Tables_number 225
_symmetry_space_group_name_Hall '-F 4 2 3'
loop_
_atom_site_label
_atom_site_fract_x
_atom_site_fract_y
_atom_site_fract_z
Ga1 0.000 0.000 0.000
Ru1 0.250 0.250 0.250
Cl1 0.000 0.000 0.500

***

# AsRuSe2N SCAN single point on PBEsol structure
# Raw total energy (eV per atom): -19.519
data_AsRuSe2N
_cell_length_a 4.853
_cell_length_b 4.853
_cell_length_c 4.639
_cell_angle_alpha 90.00
_cell_angle_beta 90.00
_cell_angle_gamma 90.00
_symmetry_space_group_name_H-M 'P 4/m m m'
_symmetry_Int_Tables_number 123
_symmetry_space_group_name_Hall '-P 4 2'
loop_
_atom_site_label
_atom_site_fract_x
_atom_site_fract_y
_atom_site_fract_z
As1 0.000 0.000 0.000
Ru1 0.000 0.000 0.500
Se1 0.000 0.500 0.500
N1 0.500 0.500 0.000

***

Repeat the second record exactly.
# GaRu2Cl SCAN single point on PBEsol structure
# Raw total energy (eV per atom): -22.866
data_GaRu2Cl
_cell_length_a 6.031
_cell_length_b 6.031
_cell_length_c 6.031
_cell_angle_alpha 90.00
_cell_angle_beta 90.00
_cell_angle_gamma 90.00
_symmetry_space_group_name_H-M 'F m -3 m'
_symmetry_Int_Tables_number 225
_symmetry_space_group_name_Hall '-F 4 2 3'
loop_
_atom_site_label
_atom_site_fract_x
_atom_site_fract_y
_atom_site_fract_z
Ga1 0.000 0.000 0.000
Ru1 0.250 0.250 0.250
Cl1 0.000 0.000 0.500